No. 1
A plane-wave DFT calculation with PBE was carried out for a geometry-optimized UNbPt6 structure.

As for the formation energy: -0.60 eV/atom. The value obtained for the density is 18.24 g/cm³. The total magnetization is 0.367 μB/atom. The calculation puts the total energy at -62.4 eV per cell.

It has space group P4/mmm (No. 123), with a = 4.0844 Å, b = 4.0844 Å, c = 8.1919 Å, α = 90.00°, β = 90.00° and γ = 90.00°. The distinct sites, in fractional coordinates, are U at (0.0000, 0.0000, 0.0000), Nb at (0.0000, 0.0000, 0.5000), Pt at (0.0000, 0.5000, 0.2633), Pt at (0.5000, 0.5000, 0.0000) and Pt at (0.5000, 0.5000, 0.5000).

***

No. 2
A plane-wave DFT calculation with PBE was carried out for a geometry-optimized Sm4Y3Tm4 structure.

As for the relative energy among the computed polymorphs: 0.00 kJ per mole of atoms. As for the formation energy: 0.02 eV/atom. The value obtained for the density is 7.30 g/cm³. The total magnetization is 0.000 μB/atom. The calculation puts the total energy at -111.8 eV per cell.

It has space group C2/m (No. 12), with a = 39.5240 Å, b = 3.5637 Å, c = 5.0285 Å, α = 90.00°, β = 97.30° and γ = 90.00°. The distinct sites, in fractional coordinates, are Sm at (0.0461, 0.0000, 0.0456), Sm at (0.1827, 0.5000, 0.6824), Y at (0.0000, 0.5000, 0.5000), Y at (0.1365, 0.0000, 0.1360), Tm at (0.0916, 0.5000, 0.5908) and Tm at (0.2278, 0.0000, 0.2277).

***

No. 3
A plane-wave DFT calculation with PBE was carried out for a geometry-optimized KRb3As2S6 structure.

The value obtained for the density is 2.31 g/cm³. The total magnetization is 0.149 μB/atom. The value obtained for the uncorrected formation energy is -664 meV per atom. The calculation puts the total energy at -46.0 eV per cell.

It has space group P-3m1 (No. 164), with a = 7.6523 Å, b = 7.6523 Å, c = 9.0495 Å, α = 90.00°, β = 90.00° and γ = 120.00°. The distinct sites, in fractional coordinates, are K at (0.0000, 0.0000, 0.0000), Rb at (0.0000, 0.0000, 0.5000), Rb at (0.3333, 0.6667, 0.1384), As at (0.3333, 0.6667, 0.7063) and S at (0.1766, 0.3532, 0.7789).